First-principles (PBE) data for HgIrW2Br after structural relaxation, as listed in the Alexandria database.

## Properties
* magnetization: 4.9 Bohr magnetons per cell
* formation energy from raw total energies: 2.975 eV per atom

a b c (Å): 5.175 5.016 5.175
angles (deg): 90.00 90.00 90.00
Site moments in Bohr magnetons follow the coordinates.
Positions (direct):
W: 0.500 0.000 0.000  2.19
W: 0.000 0.000 0.500  2.37
Br: 0.500 0.500 0.500  0.01
Hg: 0.000 0.000 0.000  0.06
Ir: 0.000 0.500 0.000  -1.05

=====

First-principles (PBE) data for Ba2NaLiHg after structural relaxation, as listed in the Alexandria database.

## Properties
* offset from the most stable computed form: 328 meV per atom
* magnetization: 0.0 Bohr magnetons per cell
* energy relative to the elements: 205 meV per atom

a b c (Å): 6.707 5.339 6.707
angles (deg): 90.00 90.00 90.00
Positions (direct):
Ba: 0.500 0.000 0.000
Hg: 0.000 0.500 0.000
Ba: 0.000 0.000 0.500
Li: 0.500 0.500 0.500
Na: 0.000 0.000 0.000

=====

First-principles (PBE) data for RbInI3 after structural relaxation, as listed in the Alexandria database.

## Properties
* magnetization: 0.0 Bohr magnetons per cell
* formation energy from raw total energies: -0.849 eV per atom

a b c (Å): 9.036 10.009 11.732
angles (deg): 90.00 83.32 90.00
Positions (direct):
I: 0.384 0.200 0.051
I: 0.790 0.034 0.247
I: 0.864 0.296 0.925
I: 0.884 0.300 0.551
I: 0.636 0.796 0.575
Rb: 0.399 0.884 0.247
I: 0.710 0.534 0.253
I: 0.210 0.966 0.753
Rb: 0.601 0.116 0.753
Rb: 0.101 0.384 0.253
Rb: 0.899 0.616 0.747
In: 0.837 0.771 0.363
I: 0.116 0.700 0.449
In: 0.163 0.229 0.637
I: 0.364 0.204 0.425
In: 0.663 0.271 0.137
I: 0.290 0.466 0.747
In: 0.337 0.729 0.863
I: 0.616 0.800 0.949
I: 0.136 0.704 0.075

=====

First-principles (PBE) data for Ba2GaSn2 after structural relaxation, as listed in the Alexandria database.

## Properties
* offset from the most stable computed form: 53 meV per atom
* magnetization: 0.0 Bohr magnetons per cell
* energy relative to the elements: -528 meV per atom

a b c (Å): 5.086 4.413 8.114
angles (deg): 105.78 90.00 90.00
Positions (direct):
Ba: 0.000 0.687 0.374
Sn: 0.500 0.514 0.028
Sn: 0.500 0.299 0.599
Ga: 0.500 0.114 0.228
Ba: 0.000 0.928 0.856

=====

First-principles (PBE) data for LuHf2Al after structural relaxation, as listed in the Alexandria database.

## Properties
* offset from the most stable computed form: 57 meV per atom
* magnetization: 0.0 Bohr magnetons per cell
* energy relative to the elements: -93 meV per atom

a b c (Å): 3.152 3.152 8.885
angles (deg): 90.00 90.00 90.00
Positions (direct):
Hf: 0.000 0.000 0.221
Hf: 0.000 0.000 0.779
Lu: 0.500 0.500 0.500
Al: 0.500 0.500 0.000

=====

First-principles (PBE) data for Ac2ErSb after structural relaxation, as listed in the Alexandria database.

## Properties
* offset from the most stable computed form: 0 meV per atom
* magnetization: 0.0 Bohr magnetons per cell
* formation energy from raw total energies: -0.422 eV per atom

a b c (Å): 4.327 4.327 7.688
angles (deg): 90.00 90.00 90.00
Positions (direct):
Sb: 0.500 0.500 0.500
Ac: 0.000 0.000 0.728
Er: 0.500 0.500 0.000
Ac: 0.000 0.000 0.272

=====

First-principles (PBE) data for La9Dy4Cd11 after structural relaxation, as listed in the Alexandria database.

## Properties
* magnetization: 1.4 Bohr magnetons per cell
* energy relative to the elements: -260 meV per atom

a b c (Å): 14.562 14.562 3.565
angles (deg): 90.00 90.00 111.84
Site moments in Bohr magnetons follow the coordinates.
Positions (direct):
La: 0.634 0.151 0.500  -0.02
Cd: 0.839 0.161 0.000  0.00
La: 0.366 0.849 0.500  -0.02
Cd: 0.582 0.943 0.000  0.00
Cd: 0.418 0.057 0.000  0.00
La: 0.789 0.951 0.500  0.05
La: 0.211 0.049 0.500  0.05
La: 0.849 0.366 0.500  -0.02
Cd: 0.000 0.000 0.000  0.00
Cd: 0.724 0.724 0.000  0.00
La: 0.951 0.789 0.500  0.05
Dy: 0.250 0.444 0.500  0.10
Cd: 0.365 0.635 0.000  0.00
La: 0.500 0.500 0.500  0.32
Cd: 0.943 0.582 0.000  0.00
Cd: 0.161 0.839 0.000  0.00
Cd: 0.057 0.418 0.000  0.00
La: 0.151 0.634 0.500  -0.02
Cd: 0.635 0.365 0.000  0.00
Cd: 0.276 0.276 0.000  0.00
La: 0.049 0.211 0.500  0.05
Dy: 0.556 0.750 0.500  0.10
Dy: 0.750 0.556 0.500  0.10
Dy: 0.444 0.250 0.500  0.10

=====

First-principles (PBE) data for LuNiHgPd after structural relaxation, as listed in the Alexandria database.

## Properties
* magnetization: 0.0 Bohr magnetons per cell
* energy relative to the elements: -466 meV per atom

a b c (Å): 4.654 4.654 4.654
angles (deg): 60.00 60.00 60.00
Positions (direct):
Pd: 0.750 0.750 0.750
Lu: 0.500 0.500 0.500
Hg: 0.000 0.000 0.000
Ni: 0.250 0.250 0.250

=====

First-principles (PBE) data for AcSmYSn after structural relaxation, as listed in the Alexandria database.

## Properties
* magnetization: 0.0 Bohr magnetons per cell
* energy relative to the elements: -192 meV per atom

a b c (Å): 5.597 5.597 5.597
angles (deg): 60.00 60.00 60.00
Positions (direct):
Y: 0.000 0.000 0.000
Sm: 0.500 0.500 0.500
Ac: 0.750 0.750 0.750
Sn: 0.250 0.250 0.250

=====

First-principles (PBE) data for Ho2CdCu3 after structural relaxation, as listed in the Alexandria database.

## Properties
* magnetization: 0.0 Bohr magnetons per cell
* energy relative to the elements: -207 meV per atom

a b c (Å): 5.678 5.678 8.367
angles (deg): 104.75 104.75 104.44
Positions (direct):
Ho: 0.750 0.250 0.500
Cd: 0.334 0.334 0.667
Cu: 0.839 0.324 0.163
Ho: 0.758 0.758 0.000
Ho: 0.250 0.750 0.500
Cu: 0.839 0.839 0.678
Cu: 0.324 0.839 0.163
Ho: 0.242 0.242 0.000
Cu: 0.161 0.161 0.322
Cu: 0.676 0.161 0.837
Cd: 0.666 0.666 0.333
Cu: 0.161 0.676 0.837

=====

First-principles (PBE) data for NdDy3Ho3 after structural relaxation, as listed in the Alexandria database.

## Properties
* offset from the most stable computed form: 8 meV per atom
* magnetization: 0.0 Bohr magnetons per cell
* energy relative to the elements: 20 meV per atom

a b c (Å): 10.663 7.944 17.746
angles (deg): 119.48 126.88 94.27
Positions (direct):
Ho: 0.839 0.641 0.552
Ho: 0.377 0.503 0.377
Dy: 0.054 0.786 0.482
Ho: 0.408 0.356 0.696
Dy: 0.699 0.215 0.269
Nd: 0.018 0.930 0.163
Ho: 0.946 0.214 0.518
Ho: 0.342 0.643 0.054
Dy: 0.161 0.359 0.448
Dy: 0.659 0.357 0.946
Dy: 0.196 0.214 0.767
Nd: 0.982 0.071 0.837
Dy: 0.127 0.503 0.127
Dy: 0.731 0.070 0.588
Ho: 0.873 0.497 0.873
Dy: 0.592 0.644 0.304
Nd: 0.236 0.072 0.090
Dy: 0.623 0.497 0.623
Dy: 0.088 0.639 0.802
Ho: 0.269 0.929 0.412
Dy: 0.514 0.928 0.659
Ho: 0.301 0.784 0.731
Dy: 0.552 0.785 0.982
Nd: 0.765 0.928 0.910
Ho: 0.912 0.361 0.198
Ho: 0.486 0.072 0.341
Ho: 0.449 0.215 0.018
Ho: 0.804 0.786 0.233

=====

First-principles (PBE) data for Pr8Nd5Dy after structural relaxation, as listed in the Alexandria database.

## Properties
* magnetization: 0.0 Bohr magnetons per cell
* energy relative to the elements: 231 meV per atom

a b c (Å): 8.710 8.710 8.710
angles (deg): 110.67 107.11 110.67
Positions (direct):
Pr: 0.077 0.741 0.474
Nd: 0.029 0.313 0.131
Pr: 0.663 0.397 0.923
Nd: 0.869 0.899 0.182
Dy: 0.250 0.500 0.750
Pr: 0.337 0.268 0.438
Nd: 0.818 0.687 0.716
Pr: 0.562 0.898 0.829
Pr: 0.733 0.259 0.337
Nd: 0.500 0.000 0.500
Pr: 0.526 0.603 0.267
Pr: 0.171 0.732 0.069
Nd: 0.284 0.101 0.971
Pr: 0.931 0.102 0.663

=====

First-principles (PBE) data for NpTiHgO6 after structural relaxation, as listed in the Alexandria database.

## Properties
* magnetization: 2.0 Bohr magnetons per cell
* formation energy from raw total energies: -2.246 eV per atom

a b c (Å): 5.445 5.445 9.762
angles (deg): 90.00 90.00 120.00
Site moments in Bohr magnetons follow the coordinates.
Positions (direct):
O: 0.627 0.988 0.858  -0.03
O: 0.373 0.012 0.142  -0.03
O: 0.988 0.361 0.142  -0.03
O: 0.639 0.012 0.358  -0.03
O: 0.361 0.988 0.642  -0.03
O: 0.012 0.639 0.858  -0.03
Np: 0.333 0.667 0.250  1.21
O: 0.012 0.373 0.642  -0.03
O: 0.361 0.373 0.858  -0.03
Hg: 0.000 0.000 0.000  0.00
O: 0.639 0.627 0.142  -0.03
Hg: 0.000 0.000 0.500  0.00
Ti: 0.667 0.333 0.250  -0.01
O: 0.373 0.361 0.358  -0.03
O: 0.627 0.639 0.642  -0.03
Np: 0.667 0.333 0.750  1.21
O: 0.988 0.627 0.358  -0.03
Ti: 0.333 0.667 0.750  -0.01

=====

First-principles (PBE) data for SrCaTaRe2 after structural relaxation, as listed in the Alexandria database.

## Properties
* magnetization: 1.4 Bohr magnetons per cell
* energy relative to the elements: 2589 meV per atom

a b c (Å): 4.922 4.902 4.922
angles (deg): 90.00 90.00 90.00
Site moments in Bohr magnetons follow the coordinates.
Positions (direct):
Re: 0.500 0.000 0.000  0.90
Sr: 0.500 0.500 0.500  -0.01
Ca: 0.000 0.000 0.000  0.02
Re: 0.000 0.000 0.500  0.95
Ta: 0.000 0.500 0.000  -0.45

=====

First-principles (PBE) data for Sc4SnBi after structural relaxation, as listed in the Alexandria database.

## Properties
* magnetization: 0.0 Bohr magnetons per cell
* energy relative to the elements: -383 meV per atom

a b c (Å): 4.754 8.152 8.364
angles (deg): 101.11 106.53 90.00
Positions (direct):
Sc: 0.196 0.514 0.893
Sc: 0.804 0.486 0.107
Sn: 0.307 0.256 0.115
Sc: 0.910 0.141 0.321
Sc: 0.090 0.859 0.679
Sc: 0.426 0.632 0.353
Bi: 0.000 0.500 0.500
Sn: 0.693 0.744 0.885
Sc: 0.296 0.888 0.092
Sc: 0.704 0.112 0.908
Sc: 0.574 0.368 0.647
Bi: 0.500 0.000 0.500

=====

First-principles (PBE) data for CdHg2 after structural relaxation, as listed in the Alexandria database.

## Properties
* offset from the most stable computed form: 27 meV per atom
* magnetization: 0.0 Bohr magnetons per cell
* energy relative to the elements: 43 meV per atom

a b c (Å): 3.126 3.234 8.678
angles (deg): 85.00 100.38 118.91
Positions (direct):
Cd: 0.000 0.000 0.000
Hg: 0.665 0.000 0.331
Hg: 0.335 0.000 0.669

=====

First-principles (PBE) data for TlIO6 after structural relaxation, as listed in the Alexandria database.

## Properties
* magnetization: 2.0 Bohr magnetons per cell
* formation energy from raw total energies: 0.028 eV per atom

a b c (Å): 5.281 5.283 5.580
angles (deg): 61.71 61.74 59.99
Site moments in Bohr magnetons follow the coordinates.
Positions (direct):
O: 0.625 0.212 0.231  0.29
O: 0.787 0.068 0.770  0.29
O: 0.067 0.376 0.769  0.29
I: 0.000 0.000 0.000  -0.05
Tl: 0.500 0.500 0.500  -0.01
O: 0.933 0.624 0.231  0.29
O: 0.213 0.932 0.230  0.29
O: 0.375 0.788 0.769  0.29

=====

First-principles (PBE) data for CaCu2 after structural relaxation, as listed in the Alexandria database.

## Properties
* magnetization: 0.0 Bohr magnetons per cell
* energy relative to the elements: -84 meV per atom

a b c (Å): 4.053 4.053 7.129
angles (deg): 90.00 90.00 90.00
Positions (direct):
Cu: 0.250 0.250 0.208
Ca: 0.750 0.750 0.328
Ca: 0.250 0.250 0.672
Cu: 0.750 0.250 0.000
Cu: 0.250 0.750 0.000
Cu: 0.750 0.750 0.792

=====

First-principles (PBE) data for RhSBr after structural relaxation, as listed in the Alexandria database.

## Properties
* magnetization: 0.0 Bohr magnetons per cell
* formation energy from raw total energies: -0.264 eV per atom

a b c (Å): 5.904 6.752 6.752
angles (deg): 117.33 90.00 90.00
Positions (direct):
Rh: 0.993 0.779 0.971
S: 0.857 0.639 0.611
S: 0.357 0.861 0.889
Br: 0.653 0.624 0.126
S: 0.857 0.139 0.111
Br: 0.153 0.876 0.374
Br: 0.653 0.124 0.626
Rh: 0.493 0.721 0.529
Rh: 0.493 0.221 0.029
Rh: 0.993 0.279 0.471
Br: 0.153 0.376 0.874
S: 0.357 0.361 0.389

=====

First-principles (PBE) data for CaPrPt2 after structural relaxation, as listed in the Alexandria database.

## Properties
* magnetization: 0.0 Bohr magnetons per cell
* energy relative to the elements: -848 meV per atom

a b c (Å): 4.139 4.139 7.403
angles (deg): 73.77 73.77 60.00
Positions (direct):
Pt: 0.086 0.086 0.743
Ca: 0.497 0.497 0.509
Pr: 0.669 0.669 0.993
Pt: 0.248 0.248 0.255